(1)
Density functional theory data (PBE) for Er2ScSe2O2 after structural relaxation.

Results
The calculation puts the formation energy without anion corrections at -16.701 eV per formula unit. The final energy comes out at -0.2575 Ha/atom. The value obtained for the volume is 123 Å³/cell.

Unit cell a=4.050 b=4.050 c=8.001 alpha=104.66 beta=104.66 gamma=90.00
Element x y z (fractional)
1 Er 0.378 0.378 0.756
2 Er 0.622 0.622 0.244
3 Sc 0.000 0.000 0.000
4 Se 0.180 0.180 0.361
5 Se 0.820 0.820 0.639
6 O 0.000 0.500 0.000
7 O 0.500 0.000 0.000

---

(2)
Density functional theory data (PBE) for Tb3Nd2ErBi6 after structural relaxation.

Results
Its formation energy is -0.888 eV/atom. The final energy comes out at -0.1896 Ha/atom. The value obtained for the volume is 393 Å³/cell.

Unit cell a=4.526 b=9.049 c=10.115 alpha=102.90 beta=102.93 gamma=90.00
Element x y z (fractional)
1 Tb 0.500 0.500 0.000
2 Tb 0.832 0.166 0.663
3 Tb 0.168 0.834 0.337
4 Nd 0.834 0.668 0.669
5 Nd 0.166 0.332 0.331
6 Er 0.500 0.000 0.000
7 Bi 0.335 0.923 0.670
8 Bi 0.665 0.587 0.330
9 Bi 0.665 0.077 0.330
10 Bi 0.997 0.246 0.995
11 Bi 0.003 0.754 0.005
12 Bi 0.335 0.413 0.670

---

(3)
Density functional theory data (PBE) for Hf4Ti2Sn after structural relaxation.

Results
Its formation energy is 0.008 eV/atom. The energy above the most stable polymorph in this dataset comes out at 0 meV/atom. The final energy comes out at -0.3126 Ha/atom. The value obtained for the volume is 145 Å³/cell.

Unit cell a=4.883 b=4.883 c=7.567 alpha=71.18 beta=71.18 gamma=60.00
Element x y z (fractional)
1 Hf 0.434 0.434 0.697
2 Hf 0.287 0.287 0.139
3 Hf 0.713 0.713 0.861
4 Hf 0.566 0.566 0.303
5 Ti 0.150 0.150 0.550
6 Ti 0.850 0.850 0.450
7 Sn 0.000 0.000 0.000

---

(4)
Density functional theory data (PBE) for Ac2LaPm5Nd after structural relaxation.

Results
Its formation energy is 0.077 eV/atom. The final energy comes out at -0.1673 Ha/atom. The value obtained for the volume is 670 Å³/cell.

Unit cell a=5.946 b=9.462 c=12.537 alpha=90.00 beta=90.00 gamma=108.31
Element x y z (fractional)
1 Ac 0.888 0.777 0.924
2 Ac 0.082 0.165 0.755
3 Ac 0.112 0.223 0.424
4 Ac 0.918 0.835 0.255
5 La 0.749 0.497 0.429
6 La 0.251 0.503 0.929
7 Pm 0.443 0.887 0.066
8 Pm 0.729 0.458 0.726
9 Pm 0.439 0.878 0.775
10 Pm 0.273 0.546 0.625
11 Pm 0.913 0.827 0.596
12 Pm 0.557 0.113 0.566
13 Pm 0.271 0.542 0.226
14 Pm 0.561 0.122 0.275
15 Pm 0.727 0.454 0.125
16 Pm 0.087 0.173 0.096
17 Nd 0.612 0.224 0.929
18 Nd 0.388 0.776 0.429

---

(5)
Density functional theory data (PBE) for KAs2RhSe after structural relaxation.

Results
The energy above the most stable polymorph in this dataset comes out at 1946 meV/atom. The calculation puts the formation energy without anion corrections at 9.424 eV per formula unit. The final energy comes out at -0.0868 Ha/atom. The value obtained for the volume is 153 Å³/cell.

Unit cell a=5.313 b=5.313 c=5.407 alpha=90.00 beta=90.00 gamma=90.00
Element x y z (fractional)
1 As 0.000 0.500 0.000
2 As 0.500 0.000 0.000
3 Rh 0.500 0.500 0.500
4 K 0.000 0.000 0.000
5 Se 0.000 0.000 0.500

---

(6)
Density functional theory data (PBE) for Li2AuO3 after structural relaxation.

Results
The calculation puts the formation energy without anion corrections at -4.818 eV per formula unit. The final energy comes out at -0.1641 Ha/atom. The value obtained for the volume is 131 Å³/cell.

Unit cell a=5.581 b=4.131 c=5.879 alpha=90.00 beta=90.00 gamma=105.56
Element x y z (fractional)
1 Li 0.388 0.718 0.529
2 Li 0.388 0.718 0.971
3 Li 0.612 0.282 0.029
4 Li 0.612 0.282 0.471
5 Au 0.973 0.853 0.250
6 Au 0.027 0.147 0.750
7 O 0.654 0.997 0.750
8 O 0.346 0.003 0.250
9 O 0.106 0.678 0.750
10 O 0.404 0.340 0.750
11 O 0.596 0.660 0.250
12 O 0.894 0.322 0.250

---

(7)
Density functional theory data (PBE) for CeHo4Bi5 after structural relaxation.

Results
Its formation energy is -0.826 eV/atom. The final energy comes out at -0.1908 Ha/atom. The value obtained for the volume is 320 Å³/cell.

Unit cell a=4.493 b=6.352 c=11.875 alpha=105.51 beta=100.90 gamma=90.00
Element x y z (fractional)
1 Ce 0.000 0.000 0.000
2 Ho 0.399 0.399 0.798
3 Ho 0.798 0.798 0.595
4 Ho 0.202 0.202 0.405
5 Ho 0.601 0.601 0.202
6 Bi 0.603 0.103 0.206
7 Bi 0.801 0.301 0.601
8 Bi 0.199 0.699 0.399
9 Bi 0.000 0.500 0.000
10 Bi 0.397 0.897 0.794

---

(8)
Density functional theory data (PBE) for DyMg3Ag4 after structural relaxation.

Results
Its formation energy is -0.238 eV/atom. The final energy comes out at -0.1043 Ha/atom. The value obtained for the volume is 323 Å³/cell.

Unit cell a=4.818 b=6.953 c=9.635 alpha=90.00 beta=90.00 gamma=90.00
Element x y z (fractional)
1 Mg 0.000 0.000 0.000
2 Mg 0.000 0.000 0.500
3 Mg 0.500 0.000 0.750
4 Mg 0.500 0.000 0.250
5 Mg 0.500 0.500 0.750
6 Mg 0.500 0.500 0.250
7 Ag 0.500 0.767 0.000
8 Ag 0.500 0.767 0.500
9 Ag 0.500 0.233 0.000
10 Ag 0.500 0.233 0.500
11 Ag 0.000 0.768 0.750
12 Ag 0.000 0.768 0.250
13 Ag 0.000 0.232 0.250
14 Ag 0.000 0.232 0.750
15 Dy 0.000 0.500 0.000
16 Dy 0.000 0.500 0.500

---

- Which of these has the lowest final energy?
  Hf4Ti2Sn